Here is ThGe2Pd3 after structural relaxation from Alexandria via LeMat-Bulk. Energies are from PBE-GGA.

DFT formation energy	-0.782	eV/atom
space-group type	C2/m (12)

```
18
Lattice="8.393 -2.072 0.000 8.393 2.072 0.000 -3.249 0.000 9.572" Properties=species:S:1:pos:R:3 pbc="T T T"
Th 0.000 0.000 0.000
Th 0.366 0.000 6.647
Th 13.171 0.000 2.925
Ge 2.929 0.000 1.261
Ge 4.309 0.000 5.280
Ge 7.015 0.000 2.106
Ge 6.522 0.000 7.465
Ge 9.228 0.000 4.292
Ge 10.608 0.000 8.310
Pd -0.412 0.000 3.190
Pd 2.394 0.000 3.748
Pd 5.248 0.000 0.315
Pd 3.798 0.000 7.738
Pd 6.768 0.000 4.786
Pd 9.739 0.000 1.833
Pd 8.289 0.000 9.257
Pd 11.143 0.000 5.824
Pd 13.949 0.000 6.382
```